## AcNdInGa (PBE-GGA)

Data for AcNdInGa after structural relaxation.

Unit cell a=5.543 b=5.543 c=5.543 alpha=60.00 beta=60.00 gamma=60.00
Fractional positions:
Nd: 0.500 0.500 0.500
Ga: 0.250 0.250 0.250
In: 0.750 0.750 0.750
Ac: 0.000 0.000 0.000

Output
**DFT total energy**: -4.091 eV per atom
**Mass density**: 7.665 Mg/m³
**SG**: F-43m (216)
**Formation enthalpy at 0 K**: -1.72 eV/f.u.